(1)
## NaPr2Rh (PBE)

Data for a geometry-optimized NaPr2Rh structure.

```
12
Lattice="4.1450 0.0000 0.0000 -2.0725 3.5896 0.0000 0.0000 0.0000 28.1326" Properties=species:S:1:pos:R:3 pbc="T T T"
Na 0.0000 0.0000 0.0000
Na 0.0000 2.3931 18.7551
Na 2.0725 1.1965 9.3775
Pr 0.0000 0.0000 6.2308
Pr 0.0000 0.0000 21.9018
Pr 0.0000 2.3931 12.5243
Pr 0.0000 2.3931 24.9859
Pr 2.0725 1.1965 3.1467
Pr 2.0725 1.1965 15.6083
Rh 0.0000 0.0000 14.0663
Rh 0.0000 2.3931 4.6888
Rh 2.0725 1.1965 23.4438
```

Energy relative to the elements ... -0.309 eV/atom
Calculated volume ... 418.6 Å³ per cell
Mass density ... 4.9 g cm⁻³
Crystal system ... trigonal

=====

(2)
## NaPr2Rh (PBE)

Data for a geometry-optimized NaPr2Rh structure.

```
12
Lattice="4.1558 0.0000 0.0000 -2.0779 3.5991 0.0000 0.0000 0.0000 27.8346" Properties=species:S:1:pos:R:3 pbc="T T T"
Na 0.0000 0.0000 0.0000
Na 0.0000 2.3994 18.5564
Na 2.0779 1.1997 9.2782
Pr 0.0000 0.0000 15.4325
Pr 0.0000 0.0000 21.6398
Pr 0.0000 2.3994 6.1542
Pr 0.0000 2.3994 12.3616
Pr 2.0779 1.1997 3.0834
Pr 2.0779 1.1997 24.7106
Rh 0.0000 0.0000 4.6147
Rh 0.0000 2.3994 23.1710
Rh 2.0779 1.1997 13.8928
```

Energy relative to the elements ... -0.312 eV/atom
Calculated volume ... 416.3 Å³ per cell
Mass density ... 4.9 g cm⁻³
Crystal system ... trigonal

=====

(3)
## NaPr2Rh (PBE)

Data for a geometry-optimized NaPr2Rh structure.

```
4
Lattice="3.5853 0.0000 0.0000 0.0000 3.5853 0.0000 0.0000 0.0000 9.5361" Properties=species:S:1:pos:R:3 pbc="T T T"
Na 0.0000 0.0000 0.0000
Pr 1.7927 1.7927 3.0754
Pr 1.7927 1.7927 6.4607
Rh 0.0000 0.0000 4.7680
```

Energy relative to the elements ... -0.256 eV/atom
Calculated volume ... 122.6 Å³ per cell
Mass density ... 5.5 g cm⁻³
Crystal system ... tetragonal

=====

(4)
## NaPrRh4 (PBE)

Data for a geometry-optimized NaPrRh4 structure.

```
6
Lattice="0.0000 3.7873 3.7873 3.7873 0.0000 3.7873 3.7873 3.7873 0.0000" Properties=species:S:1:pos:R:3 pbc="T T T"
Na 0.0000 0.0000 0.0000
Pr 5.6809 5.6809 5.6809
Rh 2.8386 2.8386 2.8386
Rh 4.7359 4.7359 2.8386
Rh 4.7359 2.8386 4.7359
Rh 2.8386 4.7359 4.7359
```

Energy relative to the elements ... -0.285 eV/atom
Calculated volume ... 108.6 Å³ per cell
Mass density ... 8.8 g cm⁻³
Crystal system ... cubic

=====

(5)
## NaPr2Sb3Rh4 (PBE)

Data for a geometry-optimized NaPr2Sb3Rh4 structure.

```
10
Lattice="4.3705 0.0000 0.0000 0.0000 4.3705 0.0000 0.0000 0.0000 11.2321" Properties=species:S:1:pos:R:3 pbc="T T T"
Na 0.0000 0.0000 0.0000
Pr 0.0000 2.1852 8.4192
Pr 2.1852 0.0000 2.8129
Sb 0.0000 2.1852 4.1338
Sb 2.1852 0.0000 7.0983
Sb 2.1852 2.1852 0.0000
Rh 0.0000 0.0000 5.6160
Rh 0.0000 2.1852 1.5942
Rh 2.1852 0.0000 9.6378
Rh 2.1852 2.1852 5.6160
```

Calculated volume ... 214.5 Å³ per cell
Mass density ... 8.4 g cm⁻³
Energy relative to the elements, uncorrected ... -0.69 eV/atom
Crystal system ... tetragonal

=====

(6)
## NaPrTlRh (PBE)

Data for a geometry-optimized NaPrTlRh structure.

```
16
Lattice="7.1099 0.0000 0.0000 0.0000 7.1099 0.0000 0.0000 0.0000 7.1099" Properties=species:S:1:pos:R:3 pbc="T T T"
Na 0.0000 0.0000 0.0000
Na 0.0000 3.5550 3.5550
Na 3.5550 0.0000 3.5550
Na 3.5550 3.5550 0.0000
Pr 1.7775 1.7775 1.7775
Pr 1.7775 5.3325 5.3325
Pr 5.3325 1.7775 5.3325
Pr 5.3325 5.3325 1.7775
Tl 1.7775 1.7775 5.3325
Tl 1.7775 5.3325 1.7775
Tl 5.3325 1.7775 1.7775
Tl 5.3325 5.3325 5.3325
Rh 0.0000 0.0000 3.5550
Rh 0.0000 3.5550 0.0000
Rh 3.5550 0.0000 0.0000
Rh 3.5550 3.5550 3.5550
```

Energy relative to the elements ... -0.172 eV/atom
Calculated volume ... 359.4 Å³ per cell
Mass density ... 8.7 g cm⁻³
Crystal system ... cubic

=====

(7)
## NaPrS2 (PBE)

Data for a geometry-optimized NaPrS2 structure.

```
12
Lattice="4.1262 0.0000 0.0000 -2.0631 3.5734 0.0000 0.0000 0.0000 21.1269" Properties=species:S:1:pos:R:3 pbc="T T T"
Na 0.0000 0.0000 0.0000
Na 0.0000 2.3823 14.0846
Na 2.0631 1.1911 7.0423
Pr 0.0000 0.0000 3.6502
Pr 0.0000 2.3823 17.7348
Pr 2.0631 1.1911 10.6925
S 0.0000 0.0000 12.3036
S 0.0000 0.0000 16.1369
S 0.0000 2.3823 5.2613
S 0.0000 2.3823 9.0946
S 2.0631 1.1911 2.0523
S 2.0631 1.1911 19.3459
```

Calculated volume ... 311.5 Å³ per cell
Mass density ... 3.6 g cm⁻³
Energy relative to the elements, uncorrected ... -1.73 eV/atom
Crystal system ... trigonal

=====

(8)
## NaPr3S4 (PBE)

Data for a geometry-optimized NaPr3S4 structure.

```
8
Lattice="5.7899 0.0000 0.0000 0.0000 5.7899 0.0000 0.0000 0.0000 5.7899" Properties=species:S:1:pos:R:3 pbc="T T T"
Na 0.0000 0.0000 0.0000
Pr 0.0000 2.8950 2.8950
Pr 2.8950 0.0000 2.8950
Pr 2.8950 2.8950 0.0000
S 0.0000 0.0000 2.8950
S 0.0000 2.8950 0.0000
S 2.8950 0.0000 0.0000
S 2.8950 2.8950 2.8950
```

Calculated volume ... 194.1 Å³ per cell
Mass density ... 4.9 g cm⁻³
Energy relative to the elements, uncorrected ... -1.93 eV/atom
Crystal system ... cubic